# PBE MgTlSn2, optimized geometry
data_MgTlSn2
_space_group_name_H-M_alt 'P 4/m m m'
_space_group_IT_number 123
_space_group_name_Hall '-P 4 2'
_cell_length_a 3.430
_cell_length_b 3.430
_cell_length_c 9.083
_cell_angle_alpha 90.00
_cell_angle_beta 90.00
_cell_angle_gamma 90.00
loop_
_atom_site_label
_atom_site_type_symbol
_atom_site_fract_x
_atom_site_fract_y
_atom_site_fract_z
Mg1 Mg 0.000 0.000 0.000
Tl1 Tl 0.000 0.000 0.500
Sn1 Sn 0.500 0.500 0.219
# distance to the lowest polymorph of the same formula	0	meV per atom
# calculated formation energy	-0.0524	eV per atom

***

# PBE Mg5TlSn4, optimized geometry
data_Mg5TlSn4
_space_group_name_H-M_alt 'P 4/m m m'
_space_group_IT_number 123
_space_group_name_Hall '-P 4 2'
_cell_length_a 3.741
_cell_length_b 3.741
_cell_length_c 17.394
_cell_angle_alpha 90.00
_cell_angle_beta 90.00
_cell_angle_gamma 90.00
loop_
_atom_site_label
_atom_site_type_symbol
_atom_site_fract_x
_atom_site_fract_y
_atom_site_fract_z
Mg1 Mg 0.000 0.000 0.000
Mg2 Mg 0.000 0.000 0.199
Mg3 Mg 0.000 0.000 0.399
Tl1 Tl 0.500 0.500 0.500
Sn1 Sn 0.500 0.500 0.099
Sn2 Sn 0.500 0.500 0.297
# calculated formation energy	-0.0836	eV per atom

***

# PBE Mg7Tl2Sn2, optimized geometry
data_Mg7Tl2Sn2
_space_group_name_H-M_alt 'C m m m'
_space_group_IT_number 65
_space_group_name_Hall '-C 2 2'
_cell_length_a 6.959
_cell_length_b 10.403
_cell_length_c 7.889
_cell_angle_alpha 90.00
_cell_angle_beta 90.00
_cell_angle_gamma 90.00
loop_
_atom_site_label
_atom_site_type_symbol
_atom_site_fract_x
_atom_site_fract_y
_atom_site_fract_z
Mg1 Mg 0.000 0.000 0.000
Mg2 Mg 0.000 0.500 0.216
Mg3 Mg 0.250 0.250 0.303
Tl1 Tl 0.000 0.272 0.000
Sn1 Sn 0.213 0.000 0.500
# calculated formation energy	-0.0078	eV per atom

***

# PBE Mg7Tl4Sn, optimized geometry
data_Mg7Tl4Sn
_space_group_name_H-M_alt 'C 1 2/m 1'
_space_group_IT_number 12
_space_group_name_Hall '-C 2y'
_cell_length_a 11.997
_cell_length_b 5.558
_cell_length_c 10.846
_cell_angle_alpha 90.00
_cell_angle_beta 119.54
_cell_angle_gamma 90.00
loop_
_atom_site_label
_atom_site_type_symbol
_atom_site_fract_x
_atom_site_fract_y
_atom_site_fract_z
Mg1 Mg 0.000 0.000 0.000
Mg2 Mg 0.064 0.500 0.331
Mg3 Mg 0.140 0.000 0.521
Mg4 Mg 0.206 0.500 0.924
Tl1 Tl 0.096 0.000 0.770
Tl2 Tl 0.245 0.000 0.317
Sn1 Sn 0.000 0.500 0.000
# distance to the lowest polymorph of the same formula	76	meV per atom
# calculated formation energy	0.0568	eV per atom

***

# PBE MgTl4Sn3, optimized geometry
data_MgTl4Sn3
_space_group_name_H-M_alt 'C 1 2/m 1'
_space_group_IT_number 12
_space_group_name_Hall '-C 2y'
_cell_length_a 28.875
_cell_length_b 5.008
_cell_length_c 3.270
_cell_angle_alpha 90.00
_cell_angle_beta 96.06
_cell_angle_gamma 90.00
loop_
_atom_site_label
_atom_site_type_symbol
_atom_site_fract_x
_atom_site_fract_y
_atom_site_fract_z
Mg1 Mg 0.000 0.000 0.000
Tl1 Tl 0.096 0.000 0.604
Tl2 Tl 0.219 0.000 0.723
Sn1 Sn 0.000 0.500 0.500
Sn2 Sn 0.159 0.500 0.171
# calculated formation energy	0.0642	eV per atom

***

# PBE Mg7Tl4Sn, optimized geometry
data_Mg7Tl4Sn
_space_group_name_H-M_alt 'P -3 m 1'
_space_group_IT_number 164
_space_group_name_Hall '-P 3 2"'
_cell_length_a 3.4233
_cell_length_b 3.4233
_cell_length_c 29.4256
_cell_angle_alpha 90.00
_cell_angle_beta 90.00
_cell_angle_gamma 120.00
loop_
_atom_site_label
_atom_site_type_symbol
_atom_site_fract_x
_atom_site_fract_y
_atom_site_fract_z
Mg1 Mg 0.0000 0.0000 0.0000
Mg2 Mg 0.0000 0.0000 0.2538
Mg3 Mg 0.3333 0.6667 0.1685
Mg4 Mg 0.3333 0.6667 0.4199
Tl1 Tl 0.3333 0.6667 0.6630
Tl2 Tl 0.3333 0.6667 0.9160
Sn1 Sn 0.0000 0.0000 0.5000
# distance to the lowest polymorph of the same formula	0	meV per atom
# calculated formation energy	-0.0188	eV per atom

***

# PBE Mg5TlSn3, optimized geometry
data_Mg5TlSn3
_space_group_name_H-M_alt 'P 63/m c m'
_space_group_IT_number 193
_space_group_name_Hall '-P 6c 2'
_cell_length_a 8.9237
_cell_length_b 8.9237
_cell_length_c 6.3128
_cell_angle_alpha 90.00
_cell_angle_beta 90.00
_cell_angle_gamma 120.00
loop_
_atom_site_label
_atom_site_type_symbol
_atom_site_fract_x
_atom_site_fract_y
_atom_site_fract_z
Mg1 Mg 0.0000 0.3060 0.2500
Mg2 Mg 0.3333 0.6667 0.0000
Tl1 Tl 0.0000 0.0000 0.0000
Sn1 Sn 0.0000 0.3695 0.7500
# calculated formation energy	-0.0893	eV per atom

***

# PBE Mg4Tl3Sn, optimized geometry
data_Mg4Tl3Sn
_space_group_name_H-M_alt 'P 4/m m m'
_space_group_IT_number 123
_space_group_name_Hall '-P 4 2'
_cell_length_a 3.507
_cell_length_b 3.507
_cell_length_c 16.121
_cell_angle_alpha 90.00
_cell_angle_beta 90.00
_cell_angle_gamma 90.00
loop_
_atom_site_label
_atom_site_type_symbol
_atom_site_fract_x
_atom_site_fract_y
_atom_site_fract_z
Mg1 Mg 0.000 0.000 0.124
Mg2 Mg 0.000 0.000 0.375
Tl1 Tl 0.500 0.500 0.252
Tl2 Tl 0.500 0.500 0.500
Sn1 Sn 0.500 0.500 0.000
# calculated formation energy	-0.0513	eV per atom